[1]
Density functional theory data (GGA-PBE) for a relaxed structure of YBeGe3.

Results
Its space group is Pm-3m (221). Its energy above the lowest structure with this stoichiometry is 0 meV/atom.

Lattice parameters (Å, degrees): 4.590 4.590 4.590 90.00 90.00 90.00
Atoms (fractional coordinates):
Ge  0.000  0.500  0.000
Ge  0.500  0.000  0.000
Ge  0.000  0.000  0.500
Y  0.500  0.500  0.500
Be  0.000  0.000  0.000

---

[2]
Density functional theory data (GGA-PBE) for a relaxed structure of CaMgGe2Pt5.

Results
Its space group is P4/mmm (123). The calculated total energy is -0.3796 Ry per atom.

Lattice parameters (Å, degrees): 4.724 4.724 8.372 90.00 90.00 90.00
Atoms (fractional coordinates):
Ge  0.500  0.500  0.216
Ge  0.500  0.500  0.784
Pt  0.000  0.500  0.833
Pt  0.500  0.000  0.833
Pt  0.000  0.500  0.167
Pt  0.500  0.000  0.167
Pt  0.500  0.500  0.500
Ca  0.000  0.000  0.500
Mg  0.000  0.000  0.000

---

[3]
Density functional theory data (GGA-PBE) for a relaxed structure of SrHfPb2.

Results
Its space group is Fm-3m (225). Its energy above the lowest structure with this stoichiometry is 0 meV/atom.

Lattice parameters (Å, degrees): 5.455 5.455 5.455 60.00 60.00 60.00
Atoms (fractional coordinates):
Sr  0.000  0.000  0.000
Hf  0.500  0.500  0.500
Pb  0.250  0.250  0.250
Pb  0.750  0.750  0.750

---

[4]
Density functional theory data (GGA-PBE) for a relaxed structure of Rb2Na2Ca.

Results
Its space group is I4/mmm (139). Its energy above the lowest structure with this stoichiometry is 26 meV/atom.

Lattice parameters (Å, degrees): 4.617 4.617 14.155 80.61 80.61 90.00
Atoms (fractional coordinates):
Na  0.750  0.250  0.500
Na  0.250  0.750  0.500
Ca  0.000  0.000  0.000
Rb  0.385  0.385  0.230
Rb  0.615  0.615  0.770

---

[5]
Density functional theory data (GGA-PBE) for a relaxed structure of BaMnPb4.

Results
Its space group is F-43m (216). The calculated total energy is -0.3059 Ry per atom.

Lattice parameters (Å, degrees): 6.577 6.577 6.577 60.00 60.00 60.00
Atoms (fractional coordinates):
Ba  0.750  0.750  0.750
Pb  0.375  0.375  0.874
Pb  0.874  0.375  0.375
Pb  0.375  0.375  0.375
Pb  0.375  0.874  0.375
Mn  0.000  0.000  0.000

---

[6]
Density functional theory data (GGA-PBE) for a relaxed structure of YbLuPt2.

Results
Its space group is Fm-3m (225). The calculated total energy is -0.4194 Ry per atom.

Lattice parameters (Å, degrees): 4.866 4.866 4.866 60.00 60.00 60.00
Atoms (fractional coordinates):
Yb  0.000  0.000  0.000
Pt  0.750  0.750  0.750
Pt  0.250  0.250  0.250
Lu  0.500  0.500  0.500

---

[7]
Density functional theory data (GGA-PBE) for a relaxed structure of Sc2B6W.

Results
Its space group is P6/mmm (191). The calculated total energy is -0.5930 Ry per atom.

Lattice parameters (Å, degrees): 3.396 5.349 5.349 120.00 90.00 90.00
Atoms (fractional coordinates):
Sc  0.000  0.667  0.333
Sc  0.000  0.333  0.667
B  0.500  0.330  0.000
B  0.500  0.330  0.330
B  0.500  0.000  0.670
B  0.500  0.670  0.670
B  0.500  0.000  0.330
B  0.500  0.670  0.000
W  0.000  0.000  0.000

---

[8]
Density functional theory data (GGA-PBE) for a relaxed structure of KSrCr4.

Results
Its space group is F-43m (216). The calculated total energy is -0.4201 Ry per atom.

Lattice parameters (Å, degrees): 6.067 6.067 6.067 60.00 60.00 60.00
Atoms (fractional coordinates):
Cr  0.374  0.374  0.374
Cr  0.374  0.374  0.877
Cr  0.877  0.374  0.374
Cr  0.374  0.877  0.374
K  0.750  0.750  0.750
Sr  0.000  0.000  0.000